A plane-wave DFT calculation with GGA-PBE was carried out for an optimized crystal structure of Pr4CoBrCl2.

Energy   -4.9903 eV/atom
E_form (uncorrected)   -1.042 eV per atom
Total magnetization   0.0 μB per formula unit

a b c (Å): 7.309 4.002 7.838
angles (deg): 90.00 107.79 90.00
Sites, in units of the cell vectors:
Pr  0.213  0.000  0.205
Pr  0.247  0.500  0.787
Pr  0.753  0.500  0.213
Pr  0.787  0.000  0.795
Co  0.000  0.500  0.000
Br  0.000  0.000  0.500
Cl  0.500  0.000  0.000
Cl  0.500  0.500  0.500

A plane-wave DFT calculation with GGA-PBE was carried out for an optimized crystal structure of ScTi3Bi.

Energy relative to the lowest polymorph listed for this composition   0.000 eV/atom
Energy   -5.7930 eV/atom
Total magnetization   0.0 μB per formula unit
ΔH_f (0 K)   95.2 kJ per mole of atoms

a b c (Å): 5.124 5.124 5.124
angles (deg): 90.00 90.00 90.00
Sites, in units of the cell vectors:
Sc  0.000  0.000  0.000
Ti  0.000  0.500  0.500
Ti  0.500  0.000  0.500
Ti  0.500  0.500  0.000
Bi  0.500  0.500  0.500

A plane-wave DFT calculation with GGA-PBE was carried out for an optimized crystal structure of In2Ge2Cl.

Energy relative to the lowest polymorph listed for this composition   0.030 eV/atom
Energy   -3.3486 eV/atom
E_form (uncorrected)   -0.037 eV per atom
Total magnetization   0.0 μB per formula unit

a b c (Å): 5.171 5.171 9.448
angles (deg): 90.00 90.00 90.00
Sites, in units of the cell vectors:
In  0.000  0.500  0.250
In  0.000  0.500  0.750
In  0.500  0.000  0.250
In  0.500  0.000  0.750
Ge  0.000  0.000  0.127
Ge  0.000  0.000  0.873
Ge  0.500  0.500  0.373
Ge  0.500  0.500  0.627
Cl  0.000  0.000  0.500
Cl  0.500  0.500  0.000

A plane-wave DFT calculation with GGA-PBE was carried out for an optimized crystal structure of KRb5Hg4.

Energy   -0.8947 eV/atom
Total magnetization   0.0 μB per formula unit
ΔH_f (0 K)   -17.4 kJ per mole of atoms

a b c (Å): 11.717 11.717 9.657
angles (deg): 108.43 108.43 25.80
Sites, in units of the cell vectors:
K  0.000  0.000  0.000
Rb  0.000  0.000  0.500
Rb  0.308  0.308  0.399
Rb  0.344  0.344  0.960
Rb  0.656  0.656  0.040
Rb  0.692  0.692  0.601
Hg  0.131  0.131  0.313
Hg  0.449  0.449  0.732
Hg  0.551  0.551  0.268
Hg  0.869  0.869  0.687

A plane-wave DFT calculation with GGA-PBE was carried out for an optimized crystal structure of Tb3Tm8Th2.

Energy relative to the lowest polymorph listed for this composition   0.169 eV/atom
Energy   -4.6798 eV/atom
Total magnetization   0.0 μB per formula unit
ΔH_f (0 K)   27.2 kJ per mole of atoms

a b c (Å): 10.942 10.942 5.599
angles (deg): 90.00 90.00 140.94
Sites, in units of the cell vectors:
Tb  0.000  0.000  0.000
Tb  0.277  0.277  0.500
Tb  0.723  0.723  0.500
Tm  0.139  0.861  0.500
Tm  0.171  0.392  0.000
Tm  0.335  0.665  0.500
Tm  0.392  0.171  0.000
Tm  0.608  0.829  0.000
Tm  0.665  0.335  0.500
Tm  0.829  0.608  0.000
Tm  0.861  0.139  0.500
Th  0.245  0.755  0.000
Th  0.755  0.245  0.000

A plane-wave DFT calculation with GGA-PBE was carried out for an optimized crystal structure of LiAg2.

Energy relative to the lowest polymorph listed for this composition   0.350 eV/atom
Energy   -2.3491 eV/atom
Total magnetization   0.0 μB per formula unit
ΔH_f (0 K)   18.3 kJ per mole of atoms

a b c (Å): 5.944 5.944 5.944
angles (deg): 90.00 90.00 90.00
Sites, in units of the cell vectors:
Li  0.000  0.000  0.000
Li  0.000  0.500  0.500
Li  0.500  0.000  0.500
Li  0.500  0.500  0.000
Ag  0.137  0.637  0.863
Ag  0.137  0.863  0.363
Ag  0.363  0.137  0.863
Ag  0.363  0.363  0.363
Ag  0.637  0.637  0.637
Ag  0.637  0.863  0.137
Ag  0.863  0.137  0.637
Ag  0.863  0.363  0.137